# Sc2TaNb2, relaxed, DFT GGA-PBE
# Theoretical density   7.0 g/cm³
# Calculated total energy   -85.91 eV/cell
# Total moment   0.0 μB/f.u.
# ΔE to the lowest computed polymorph   0.0000 eV/atom
# DFT formation energy   0.340 eV per atom
# Space group   No. 127
# DOS(E_F)   13.21 states/eV/cell
data_Sc2TaNb2
_symmetry_space_group_name_H-M 'P 1'
_symmetry_Int_Tables_number 1
_cell_length_a 6.733
_cell_length_b 6.733
_cell_length_c 4.752
_cell_angle_alpha 90.00
_cell_angle_beta 90.00
_cell_angle_gamma 90.00
loop_
_symmetry_equiv_pos_as_xyz
'x,y,z'
loop_
_atom_site_label
_atom_site_fract_x
_atom_site_fract_y
_atom_site_fract_z
_atom_site_occupancy
Sc1 0.168 0.332 0.000 1
Sc2 0.332 0.832 0.000 1
Sc3 0.668 0.168 0.000 1
Sc4 0.832 0.668 0.000 1
Ta1 0.000 0.000 0.500 1
Ta2 0.500 0.500 0.500 1
Nb1 0.141 0.641 0.500 1
Nb2 0.359 0.141 0.500 1
Nb3 0.641 0.859 0.500 1
Nb4 0.859 0.359 0.500 1